Record 1
18
Lattice="9.2289 0.0000 0.0000 -4.6144 7.9924 0.0000 0.0000 0.0000 6.4998" Properties=species:S:1:pos:R:3 comment="Nd3MgCd5, relaxed, DFT PBE" spacegroup="No. 193" formation_energy_ev_per_atom=-0.28 total_energy_ev_per_cell=-46.03 pbc="T T T"
Nd -1.6118 2.7918 1.6250
Nd -3.0026 5.2006 4.8749
Nd 3.2237 0.0000 1.6250
Nd 1.6118 2.7918 4.8749
Nd 6.0052 0.0000 4.8749
Nd 3.0026 5.2006 1.6250
Mg 0.0000 0.0000 0.0000
Mg 0.0000 0.0000 3.2499
Cd -1.4480 2.5079 4.8749
Cd -3.1665 5.4845 1.6250
Cd 2.8959 0.0000 4.8749
Cd 1.4480 2.5079 1.6250
Cd 0.0000 5.3283 0.0000
Cd 0.0000 5.3283 3.2499
Cd 4.6144 2.6641 0.0000
Cd 4.6144 2.6641 3.2499
Cd 6.3330 0.0000 1.6250
Cd 3.1665 5.4845 4.8749

Record 2
10
Lattice="9.3403 0.0000 0.0000 0.0000 9.3403 0.0000 0.0000 0.0000 3.3265" Properties=species:S:1:pos:R:3 comment="KMg2Pb2, relaxed, DFT PBE" spacegroup="No. 127" formation_energy_ev_per_atom=-0.10 polymorph_energy_mev_per_atom=31.2 total_energy_ev_per_cell=-24.44 pbc="T T T"
K 0.0000 0.0000 0.0000
K 4.6701 4.6701 0.0000
Mg 1.1767 3.4935 0.0000
Mg 3.4935 8.1636 0.0000
Mg 5.8468 1.1767 0.0000
Mg 8.1636 5.8468 0.0000
Pb 1.5427 6.2128 1.6632
Pb 3.1274 1.5427 1.6632
Pb 6.2128 7.7976 1.6632
Pb 7.7976 3.1274 1.6632

Record 3
5
Lattice="5.1635 0.0000 0.0000 0.0000 5.1635 0.0000 0.0000 0.0000 4.7761" Properties=species:S:1:pos:R:3 comment="ZnHg2OsSe, relaxed, DFT PBE" spacegroup="No. 123" formation_energy_uncorrected_ev_per_atom=1.34 total_energy_ev_per_cell=-9.87 pbc="T T T"
Zn 0.0000 0.0000 0.0000
Hg 0.0000 2.5817 0.0000
Hg 2.5817 0.0000 0.0000
Os 2.5817 2.5817 2.3880
Se 0.0000 0.0000 2.3880